Record 1
Entry from the Alexandria database: GdThBr2 after structural relaxation (PBE).

The structure in extended XYZ format:
```
4
Lattice="1.8393 1.0619 10.4620 -1.8393 1.0619 10.4620 0.0000 -2.1239 10.4620" Properties=species:S:1:pos:R:3 pbc="T T T"
Gd 0.0000 0.0000 0.0000
Th 0.0000 0.0000 15.6931
Br 0.0000 0.0000 3.0010
Br 0.0000 0.0000 28.3852
```

Output
Symmetry ... R-3m



Record 2
Entry from the Alexandria database: Gd2ThBr after structural relaxation (PBE).

The structure in extended XYZ format:
```
4
Lattice="1.8415 1.0632 10.1613 -1.8415 1.0632 10.1613 0.0000 -2.1263 10.1613" Properties=species:S:1:pos:R:3 pbc="T T T"
Gd 0.0000 0.0000 7.4148
Gd 0.0000 0.0000 23.0690
Th 0.0000 0.0000 0.0000
Br 0.0000 0.0000 15.2419
```

Output
Symmetry ... R-3m



Record 3
Entry from the Alexandria database: GdTiBr2 after structural relaxation (PBE).

The structure in extended XYZ format:
```
4
Lattice="1.7403 1.0048 9.5807 -1.7403 1.0048 9.5807 0.0000 -2.0095 9.5807" Properties=species:S:1:pos:R:3 pbc="T T T"
Gd 0.0000 0.0000 0.0000
Ti 0.0000 0.0000 14.3711
Br 0.0000 0.0000 3.0352
Br 0.0000 0.0000 25.7071
```

Output
Symmetry ... R-3m



Record 4
Entry from the Alexandria database: Gd2TlBr after structural relaxation (PBE).

The structure in extended XYZ format:
```
4
Lattice="2.0337 1.1741 7.9023 -2.0337 1.1741 7.9023 0.0000 -2.3483 7.9023" Properties=species:S:1:pos:R:3 pbc="T T T"
Gd 0.0000 0.0000 5.7606
Gd 0.0000 0.0000 17.9462
Tl 0.0000 0.0000 0.0000
Br 0.0000 0.0000 11.8534
```

Output
Symmetry ... R-3m



Record 5
Entry from the Alexandria database: GdTlBr3 after structural relaxation (PBE).

The structure in extended XYZ format:
```
5
Lattice="5.7317 0.0000 0.0000 0.0000 5.7317 0.0000 0.0000 0.0000 5.7317" Properties=species:S:1:pos:R:3 pbc="T T T"
Gd 0.0000 0.0000 0.0000
Tl 2.8659 2.8659 2.8659
Br 0.0000 0.0000 2.8659
Br 0.0000 2.8659 0.0000
Br 2.8659 0.0000 0.0000
```

Output
Symmetry ... Pm-3m



Record 6
Entry from the Alexandria database: GdTlBr2 after structural relaxation (PBE).

The structure in extended XYZ format:
```
4
Lattice="2.0647 1.1921 10.1550 -2.0647 1.1921 10.1550 0.0000 -2.3841 10.1550" Properties=species:S:1:pos:R:3 pbc="T T T"
Gd 0.0000 0.0000 0.0000
Tl 0.0000 0.0000 15.2324
Br 0.0000 0.0000 2.7947
Br 0.0000 0.0000 27.6701
```

Output
Symmetry ... R-3m



Record 7
Entry from the Alexandria database: Gd2TlBr after structural relaxation (PBE).

The structure in extended XYZ format:
```
4
Lattice="3.5789 0.0000 0.0000 0.0000 3.5789 0.0000 0.0000 0.0000 8.4200" Properties=species:S:1:pos:R:3 pbc="T T T"
Gd 0.0000 0.0000 2.0671
Gd 0.0000 0.0000 6.3529
Tl 1.7894 1.7894 0.0000
Br 1.7894 1.7894 4.2100
```

Output
Symmetry ... P4/mmm



Record 8
Entry from the Alexandria database: GdTm2Br after structural relaxation (PBE).

The structure in extended XYZ format:
```
4
Lattice="1.7389 1.0039 11.2810 -1.7389 1.0039 11.2810 0.0000 -2.0079 11.2810" Properties=species:S:1:pos:R:3 pbc="T T T"
Gd 0.0000 0.0000 0.0000
Tm 0.0000 0.0000 3.2915
Tm 0.0000 0.0000 30.5515
Br 0.0000 0.0000 16.9215
```

Output
Symmetry ... R-3m



For the records above, the corresponding raw total energy values read -7.126, -9.884, -6.910, -8.705, -5.551, -5.755, -8.726, -6.381 eV/atom.
For the records above, the corresponding magnetic moment values read 1.92, 3.54, 2.06, 3.46, 1.41, 1.76, 3.85, 2.11 μB per atom.
For the records above, the corresponding ΔE_f (raw) values read -0.91, -0.57, -0.58, -0.66, -1.26, -0.81, -0.68, -0.21 eV/atom.